# DyTa2AlC4, relaxed, DFT GGA-PBE
data_DyTa2AlC4
_chemical_formula_sum 'Dy4 Ta8 Al4 C16'
_symmetry_space_group_name_H-M 'C m c m'
_symmetry_Int_Tables_number 63
_symmetry_space_group_name_Hall '-C 2c 2'
_cell_length_a 3.2627
_cell_length_b 10.9422
_cell_length_c 11.1340
_cell_angle_alpha 90.00
_cell_angle_beta 90.00
_cell_angle_gamma 90.00
loop_
_atom_site_label
_atom_site_type_symbol
_atom_site_fract_x
_atom_site_fract_y
_atom_site_fract_z
_atom_site_occupancy
Dy1 Dy 0.0000 0.1124 0.2500 1
Ta1 Ta 0.0000 0.3686 0.0433 1
Al1 Al 0.0000 0.1522 0.7500 1
C1 C 0.0000 0.0000 0.0000 1
C2 C 0.0000 0.2631 0.6119 1
C3 C 0.0000 0.4441 0.2500 1
# E_form = -0.269 eV/atom


# PmTiZnPb, relaxed, DFT GGA-PBE
data_PmTiZnPb
_chemical_formula_sum 'Pm4 Ti4 Zn4 Pb4'
_symmetry_space_group_name_H-M 'F -4 3 m'
_symmetry_Int_Tables_number 216
_symmetry_space_group_name_Hall 'F -4 2 3'
_cell_length_a 7.1842
_cell_length_b 7.1842
_cell_length_c 7.1842
_cell_angle_alpha 90.00
_cell_angle_beta 90.00
_cell_angle_gamma 90.00
loop_
_atom_site_label
_atom_site_type_symbol
_atom_site_fract_x
_atom_site_fract_y
_atom_site_fract_z
_atom_site_occupancy
Pm1 Pm 0.0000 0.0000 0.0000 1
Ti1 Ti 0.0000 0.0000 0.5000 1
Zn1 Zn 0.2500 0.2500 0.7500 1
Pb1 Pb 0.2500 0.2500 0.2500 1
# E_form = -0.076 eV/atom


Question: Which of these has the highest E_form?
Answer: PmTiZnPb


Question: Which value of E_form does entry 2 give?
Answer: -0.076 eV/atom